LiYSe2 | PBE | relaxed

## Properties
- Total DFT energy (no corrections): -5.488 eV/atom
- D(E_F): 0.00 states/eV/cell
- Mass density: 4.3 g/cm³

a b c (Å): 4.0425 4.0425 7.2865
angles (deg): 73.90 73.90 60.00
Last column: nearest neighbours and their distance in Å.
Atoms (fractional coordinates):
Li 0.4929 0.4929 0.5212  6 Se 2.82-3.06
Y 0.6682 0.6682 0.9952  6 Se 2.86-2.88
Se 0.0834 0.0834 0.7499  3 Li 2.82, 3 Y 2.88
Se 0.2555 0.2555 0.2336  3 Y 2.86, 3 Li 3.06


Ti2Zn2P | PBE | relaxed

## Properties
- D(E_F): 6.17 states/eV/cell
- Mass density: 5.1 g/cm³
- ΔE to the lowest computed polymorph: 0.000 eV per atom
- Calculated formation energy: -0.349 eV per atom

a b c (Å): 6.3102 6.3102 4.2115
angles (deg): 90.00 90.00 90.00
Last column: nearest neighbours and their distance in Å.
Atoms (fractional coordinates):
Ti 0.6602 0.1602 0.0000  2 P 2.37
Ti 0.3398 0.8398 0.0000  2 P 2.37
Ti 0.8398 0.6602 0.0000  2 P 2.37
Ti 0.1602 0.3398 0.0000  2 P 2.37
Zn 0.3570 0.1430 0.5000  1 Zn 2.55, 6 Ti 2.74-2.85
Zn 0.1430 0.6430 0.5000  1 Zn 2.55, 6 Ti 2.74-2.85
Zn 0.6430 0.8570 0.5000  1 Zn 2.55, 6 Ti 2.74-2.85
Zn 0.8570 0.3570 0.5000  1 Zn 2.55, 6 Ti 2.74-2.85
P 0.0000 0.0000 0.0000  4 Ti 2.37
P 0.5000 0.5000 0.0000  4 Ti 2.37


La4Pm3Dy | PBE | relaxed

## Properties
- D(E_F): 21.49 states/eV/cell
- Mass density: 6.8 g/cm³
- ΔE to the lowest computed polymorph: 0.000 eV per atom
- Calculated formation energy: 0.006 eV per atom

a b c (Å): 7.3968 6.4094 11.9260
angles (deg): 90.00 90.00 90.00
Last column: nearest neighbours and their distance in Å.
Atoms (fractional coordinates):
La 0.6886 0.1665 0.5000  6 La 3.64-3.71, 4 Pm 3.68-3.72, 2 Dy 3.70
La 0.9395 0.6673 0.5000  6 Pm 3.66-3.71, 2 Dy 3.69-3.71, 4 La 3.70-3.71
La 0.9400 0.0027 0.7524  1 Dy 3.64, 5 La 3.64-3.70, 6 Pm 3.64-3.72
La 0.9400 0.0027 0.2476  1 Dy 3.64, 5 La 3.64-3.70, 6 Pm 3.64-3.72
La 0.4400 0.9973 0.2524  1 Dy 3.64, 5 La 3.64-3.70, 6 Pm 3.64-3.72
La 0.4400 0.9973 0.7476  1 Dy 3.64, 5 La 3.64-3.70, 6 Pm 3.64-3.72
La 0.4395 0.3327 0.0000  6 Pm 3.66-3.71, 2 Dy 3.69-3.71, 4 La 3.70-3.71
La 0.1886 0.8335 0.0000  6 La 3.64-3.71, 4 Pm 3.68-3.72, 2 Dy 3.70
Dy 0.4382 0.6661 0.5000  6 La 3.64-3.71, 6 Pm 3.66-3.69
Dy 0.9382 0.3339 0.0000  6 La 3.64-3.71, 6 Pm 3.66-3.69
Pm 0.6912 0.8334 0.0000  8 La 3.64-3.72, 2 Pm 3.66, 2 Dy 3.69
Pm 0.1889 0.4992 0.7494  3 Pm 3.66-3.70, 2 Dy 3.66-3.67, 7 La 3.66-3.72
Pm 0.1889 0.4992 0.2506  3 Pm 3.66-3.70, 2 Dy 3.66-3.67, 7 La 3.66-3.72
Pm 0.6889 0.5008 0.2494  3 Pm 3.66-3.70, 2 Dy 3.66-3.67, 7 La 3.66-3.72
Pm 0.1912 0.1666 0.5000  8 La 3.64-3.72, 2 Pm 3.66, 2 Dy 3.69
Pm 0.6889 0.5008 0.7506  3 Pm 3.66-3.70, 2 Dy 3.66-3.67, 7 La 3.66-3.72


Mn4Te3Se | PBE | relaxed

## Properties
- Total DFT energy (no corrections): -6.320 eV/atom
- D(E_F): 5.44 states/eV/cell
- Mass density: 6.4 g/cm³

a b c (Å): 4.1226 4.1226 12.0242
angles (deg): 90.00 90.00 120.00
Last column: nearest neighbours and their distance in Å.
Atoms (fractional coordinates):
Mn 0.0000 0.0000 0.3728  6 Te 2.82-2.83, 2 Mn 3.06-3.09
Mn 0.0000 0.0000 0.8844  3 Se 2.76, 1 Mn 2.78, 3 Te 2.86
Mn 0.0000 0.0000 0.1156  3 Se 2.76, 1 Mn 2.78, 3 Te 2.86
Mn 0.0000 0.0000 0.6272  6 Te 2.82-2.83, 2 Mn 3.06-3.09
Se 0.6667 0.3333 0.0000  6 Mn 2.76
Te 0.3333 0.6667 0.7528  6 Mn 2.82-2.86
Te 0.3333 0.6667 0.2472  6 Mn 2.82-2.86
Te 0.6667 0.3333 0.5000  6 Mn 2.83